(w)
PrCd2Ag3 | PBE | relaxed

Unit cell a=5.6658 b=7.0043 c=7.0043 alpha=87.97 beta=90.00 gamma=90.00
Element x y z (fractional)
Pr (0.2500, 0.2727, 0.2727)
Pr (0.7500, 0.7273, 0.7273)
Cd (0.5000, 0.7405, 0.2595)
Cd (0.0000, 0.7405, 0.2595)
Cd (0.0000, 0.2595, 0.7405)
Cd (0.5000, 0.2595, 0.7405)
Ag (0.7500, 0.4359, 0.0915)
Ag (0.7500, 0.0915, 0.4359)
Ag (0.2500, 0.5641, 0.9085)
Ag (0.7500, 0.0450, 0.0450)
Ag (0.2500, 0.9550, 0.9550)
Ag (0.2500, 0.9085, 0.5641)

Total magnetization in μB per atom: 0.00
Volume in A^3/atom: 23.15
Space group: Cmcm (63)

(x)
PrCd2Ag3 | PBE | relaxed

Unit cell a=4.8633 b=4.8633 c=13.1243 alpha=90.00 beta=90.00 gamma=120.00
Element x y z (fractional)
Pr (0.0000, 0.0000, 0.2500)
Pr (0.0000, 0.0000, 0.7500)
Cd (0.6667, 0.3333, 0.4117)
Cd (0.3333, 0.6667, 0.5883)
Cd (0.3333, 0.6667, 0.9117)
Cd (0.6667, 0.3333, 0.0883)
Ag (0.0000, 0.0000, 0.5000)
Ag (0.0000, 0.0000, 0.0000)
Ag (0.6667, 0.3333, 0.6347)
Ag (0.3333, 0.6667, 0.1347)
Ag (0.6667, 0.3333, 0.8653)
Ag (0.3333, 0.6667, 0.3653)

Total magnetization in μB per atom: 0.00
Volume in A^3/atom: 22.40
Space group: P6_3/mmc (194)

Relative energy of each structure, in meV per atom: (w) 63; (x) 0.

(w)
Pr4CdAg3 | PBE | relaxed

Unit cell a=3.8066 b=5.3895 c=10.7623 alpha=90.00 beta=90.00 gamma=90.00
Each line ends with the local moment (μB).
Element x y z (fractional)
Pr (0.0000, 0.0000, 0.5000)  0.06
Pr (0.0000, 0.5000, 0.7442)  0.07
Pr (0.0000, 0.0000, 0.0000)  0.07
Pr (0.0000, 0.5000, 0.2558)  0.07
Ag (0.5000, 0.0000, 0.2469)  0.01
Ag (0.5000, 0.5000, 0.5000)  0.01
Ag (0.5000, 0.0000, 0.7531)  0.01
Cd (0.5000, 0.5000, 0.0000)  0.00

Total magnetization in μB per atom: 0.07
Volume in A^3/atom: 27.60
Space group: Pmmm (47)

(x)
Pr4CdAg3 | PBE | relaxed

Unit cell a=3.8284 b=4.9410 c=11.8972 alpha=90.00 beta=90.00 gamma=90.00
Element x y z (fractional)
Pr (0.5000, 0.5000, 0.3575)
Pr (0.0000, 0.5000, 0.8447)
Pr (0.0000, 0.0000, 0.1545)
Pr (0.5000, 0.0000, 0.6448)
Cd (0.5000, 0.5000, 0.0727)
Ag (0.0000, 0.5000, 0.5729)
Ag (0.0000, 0.0000, 0.4289)
Ag (0.5000, 0.0000, 0.9240)

Total magnetization in μB per atom: 0.00
Volume in A^3/atom: 28.13
Space group: Pmm2 (25)

Relative energy of each structure, in meV per atom: (w) 0; (x) 26.

(w)
Pr2Cd2Ag | PBE | relaxed

Unit cell a=8.3547 b=8.3547 c=6.1813 alpha=48.82 beta=48.82 gamma=26.83
Element x y z (fractional)
Pr (0.6980, 0.6980, 0.8349)
Pr (0.3020, 0.3020, 0.1651)
Cd (0.4203, 0.4203, 0.4635)
Cd (0.5797, 0.5797, 0.5365)
Ag (0.0000, 0.0000, 0.0000)

Total magnetization in μB per atom: 0.00
Volume in A^3/atom: 28.67
Space group: C2/m (12)

(x)
Pr2Cd2Ag | PBE | relaxed

Unit cell a=4.9446 b=6.0837 c=10.4045 alpha=93.94 beta=76.25 gamma=66.02
Element x y z (fractional)
Pr (0.6840, 0.2858, 0.3462)
Pr (0.9209, 0.2571, 0.9011)
Pr (0.3160, 0.7142, 0.6538)
Pr (0.0791, 0.7429, 0.0989)
Cd (0.0617, 0.2984, 0.5782)
Cd (0.6509, 0.8252, 0.8730)
Cd (0.9383, 0.7016, 0.4218)
Cd (0.3491, 0.1748, 0.1270)
Ag (0.6005, 0.1294, 0.6697)
Ag (0.3995, 0.8706, 0.3303)

Total magnetization in μB per atom: 0.00
Volume in A^3/atom: 27.29
Space group: C2/m (12)

Relative energy of each structure, in meV per atom: (w) 143; (x) 0.

(w)
Pr3Cd4Ag4 | PBE | relaxed

Unit cell a=3.5311 b=4.8910 c=15.7744 alpha=81.03 beta=83.54 gamma=90.09
Element x y z (fractional)
Pr (0.1409, 0.6413, 0.7189)
Pr (0.8591, 0.3587, 0.2811)
Pr (0.0000, 0.0000, 0.0000)
Cd (0.5939, 0.0941, 0.8134)
Cd (0.2631, 0.2622, 0.4748)
Cd (0.7370, 0.7378, 0.5252)
Cd (0.4061, 0.9060, 0.1866)
Ag (0.5467, 0.5463, 0.9077)
Ag (0.4533, 0.4537, 0.0923)
Ag (0.3145, 0.8141, 0.3708)
Ag (0.6855, 0.1859, 0.6292)

Total magnetization in μB per atom: 0.00
Volume in A^3/atom: 24.30
Space group: P-1 (2)

(x)
Pr3Cd4Ag4 | PBE | relaxed

Unit cell a=4.4418 b=8.0299 c=8.9294 alpha=116.72 beta=104.40 gamma=90.00
Element x y z (fractional)
Pr (0.1234, 0.1234, 0.2469)
Pr (0.8766, 0.8766, 0.7531)
Pr (0.0000, 0.5000, 0.0000)
Cd (0.3290, 0.1347, 0.6580)
Cd (0.6710, 0.4767, 0.3420)
Cd (0.6710, 0.8653, 0.3420)
Cd (0.3290, 0.5233, 0.6580)
Ag (0.2221, 0.7221, 0.4441)
Ag (0.7779, 0.2779, 0.5559)
Ag (0.5000, 0.8177, 0.0000)
Ag (0.5000, 0.1823, 0.0000)

Total magnetization in μB per atom: 0.00
Volume in A^3/atom: 24.84
Space group: Immm (71)

Relative energy of each structure, in meV per atom: (w) 0; (x) 12.

(w)
Pr4CdAg | PBE | relaxed

Unit cell a=6.2801 b=9.6813 c=6.3485 alpha=90.00 beta=107.02 gamma=90.00
Element x y z (fractional)
Pr (0.0778, 0.6579, 0.0967)
Pr (0.4222, 0.1579, 0.9033)
Pr (0.4032, 0.3354, 0.4112)
Pr (0.0968, 0.8354, 0.5888)
Pr (0.9222, 0.3421, 0.9033)
Pr (0.5778, 0.8421, 0.0967)
Pr (0.5968, 0.6646, 0.5888)
Pr (0.9032, 0.1646, 0.4112)
Cd (0.0000, 0.0000, 0.0000)
Cd (0.5000, 0.5000, 0.0000)
Ag (0.5000, 0.0000, 0.5000)
Ag (0.0000, 0.5000, 0.5000)

Total magnetization in μB per atom: 0.00
Volume in A^3/atom: 30.76
Space group: P2_1/c (14)

(x)
Pr4CdAg | PBE | relaxed

Unit cell a=3.8053 b=3.8053 c=12.8620 alpha=90.00 beta=90.00 gamma=90.00
Each line ends with the local moment (μB).
Element x y z (fractional)
Pr (0.5000, 0.5000, 0.8435)  0.13
Pr (0.5000, 0.5000, 0.1565)  0.13
Pr (0.0000, 0.0000, 0.6450)  0.15
Pr (0.0000, 0.0000, 0.3550)  0.15
Cd (0.0000, 0.0000, 0.0000)  -0.01
Ag (0.5000, 0.5000, 0.5000)  0.01

Total magnetization in μB per atom: 0.20
Volume in A^3/atom: 31.04
Space group: P4/mmm (123)

Relative energy of each structure, in meV per atom: (w) 132; (x) 0.

(w)
Pr4Cd2Ag | PBE | relaxed

Unit cell a=6.6025 b=6.6025 c=6.6025 alpha=109.64 beta=109.39 gamma=109.39
Each line ends with the local moment (μB).
Element x y z (fractional)
Pr (0.5000, 0.0000, 0.0000)  0.18
Pr (0.5000, 0.5000, 0.5000)  0.18
Pr (0.0000, 0.0000, 0.5000)  0.18
Pr (0.0000, 0.5000, 0.0000)  0.18
Ag (0.0000, 0.0000, 0.0000)  0.03
Cd (0.5000, 0.5000, 0.0000)  0.01
Cd (0.5000, 0.0000, 0.5000)  0.01

Total magnetization in μB per atom: 0.22
Volume in A^3/atom: 31.65
Space group: I4/mmm (139)

(x)
Pr4Cd2Ag | PBE | relaxed

Unit cell a=3.6536 b=8.1986 c=8.2254 alpha=115.58 beta=102.83 gamma=90.00
Element x y z (fractional)
Pr (0.9103, 0.2788, 0.8206)
Pr (0.0897, 0.7212, 0.1794)
Pr (0.6291, 0.3636, 0.2582)
Pr (0.3709, 0.6364, 0.7418)
Cd (0.7779, 0.8494, 0.5559)
Cd (0.2221, 0.1506, 0.4441)
Ag (0.0000, 0.0000, 0.0000)

Total magnetization in μB per atom: 0.00
Volume in A^3/atom: 30.77
Space group: C2/m (12)

Relative energy of each structure, in meV per atom: (w) 0; (x) 37.